[1]
! PBEsol K4SnTe2Se2, relaxed; values from VASP
&SYSTEM
  ibrav = 0, nat = 36, ntyp = 4
/
ATOMIC_SPECIES
Sn 118.71 Sn.upf
Se 78.96 Se.upf
K 39.10 K.upf
Te 127.60 Te.upf
ATOMIC_POSITIONS crystal
Sn 0.770 0.250 0.659
Sn 0.230 0.750 0.341
Sn 0.730 0.250 0.159
Sn 0.270 0.750 0.841
Se 0.638 0.446 0.079
Se 0.362 0.554 0.921
Se 0.638 0.054 0.079
Se 0.138 0.554 0.421
Se 0.862 0.446 0.579
Se 0.862 0.054 0.579
Se 0.362 0.946 0.921
Se 0.138 0.946 0.421
K 0.851 0.534 0.272
K 0.500 0.500 0.500
K 0.500 0.000 0.500
K 0.851 0.966 0.272
K 0.000 0.000 0.000
K 0.149 0.466 0.728
K 0.649 0.966 0.772
K 0.351 0.466 0.228
K 0.519 0.750 0.071
K 0.351 0.034 0.228
K 0.481 0.250 0.929
K 0.981 0.750 0.571
K 0.649 0.534 0.772
K 0.019 0.250 0.429
K 0.000 0.500 0.000
K 0.149 0.034 0.728
Te 0.116 0.750 0.162
Te 0.060 0.250 0.168
Te 0.384 0.750 0.662
Te 0.616 0.250 0.338
Te 0.884 0.250 0.838
Te 0.940 0.750 0.832
Te 0.560 0.750 0.332
Te 0.440 0.250 0.668
CELL_PARAMETERS angstrom
8.384 0.000 0.000
0.000 10.662 0.000
0.000 0.000 14.607
! N(E_F)   0.00 states/eV per atom
! Space-group type   Pnma (62)
! Formation energy without anion corrections   -0.919 eV/atom
! V   36.27 A^3/atom

[2]
! PBEsol LaAg4Pb, relaxed; values from VASP
&SYSTEM
  ibrav = 0, nat = 6, ntyp = 3
/
ATOMIC_SPECIES
Ag 107.87 Ag.upf
La 138.91 La.upf
Pb 207.20 Pb.upf
ATOMIC_POSITIONS crystal
Ag 0.375 0.875 0.375
Ag 0.375 0.375 0.375
Ag 0.875 0.375 0.375
Ag 0.375 0.375 0.875
La 0.750 0.750 0.750
Pb 0.000 0.000 0.000
CELL_PARAMETERS angstrom
5.628 0.000 0.000
2.814 4.874 0.000
2.814 1.625 4.595
! N(E_F)   0.31 states/eV per atom
! DFT formation energy   -0.229 eV per atom
! Space-group type   F-43m (216)
! V   21.00 A^3/atom

[3]
! PBEsol LiS3Br, relaxed; values from VASP
&SYSTEM
  ibrav = 0, nat = 5, ntyp = 3
/
ATOMIC_SPECIES
S 32.06 S.upf
Br 79.90 Br.upf
Li 6.94 Li.upf
ATOMIC_POSITIONS crystal
S 0.500 0.000 0.000
S 0.000 0.000 0.500
S 0.000 0.500 0.000
Br 0.000 0.000 0.000
Li 0.500 0.500 0.500
CELL_PARAMETERS angstrom
-1.459 4.353 1.628
-3.863 -0.187 -2.963
-2.585 -2.178 3.508
! N(E_F)   0.67 states/eV per atom
! Space-group type   Pm-3m (221)
! Formation energy without anion corrections   0.536 eV/atom
! V   23.12 A^3/atom

[4]
! PBEsol YSi, relaxed; values from VASP
&SYSTEM
  ibrav = 0, nat = 4, ntyp = 2
/
ATOMIC_SPECIES
Y 88.91 Y.upf
Si 28.09 Si.upf
ATOMIC_POSITIONS crystal
Y 0.250 0.141 0.719
Y 0.750 0.859 0.281
Si 0.750 0.576 0.848
Si 0.250 0.424 0.152
CELL_PARAMETERS angstrom
-1.829 2.593 2.090
-1.720 -3.089 2.328
3.201 -1.328 4.451
! N(E_F)   0.53 states/eV per atom
! Space-group type   Cmcm (63)
! Formation energy without anion corrections   -0.927 eV/atom
! V   21.03 A^3/atom